First-principles (PBE) data for a relaxed structure of NbCdTeI2, as listed in the Alexandria database.

## Properties
Uncorrected formation energy in eV per atom: 0.05
Fermi-level density of states in states/eV per cell: 2.45
Space group: No. 123
Raw total energy in eV/atom: -3.40
E above lowest polymorph in meV per atom: 0

a b c (Å): 5.6802 5.6802 5.4163
angles (deg): 90.00 90.00 90.00
Last column: nearest neighbours and their distance in Å.
Atoms (fractional coordinates):
1 I 0.0000 0.5000 0.0000  2 Nb 2.84
2 I 0.5000 0.0000 0.0000  2 Nb 2.84
3 Nb 0.0000 0.0000 0.0000  2 Te 2.71, 4 I 2.84
4 Te 0.0000 0.0000 0.5000  2 Nb 2.71
5 Cd 0.5000 0.5000 0.5000  8 I 3.92, 4 Te 4.02